Entry 1:
Entry from Alexandria via LeMat-Bulk: crystalline SrTa2PAu at its relaxed geometry (PBE-GGA).

Space group = P4/mmm
N(E_F) = 2.65 states/eV/cell
Formation enthalpy at 0 K = 352 meV/atom

a = 4.7302 Å, b = 5.0591 Å, c = 4.7302 Å
α = 90.00°, β = 90.00°, γ = 90.00°
Fractional positions:
Ta  0.5000  0.0000  0.0000
Ta  0.0000  0.0000  0.5000
Sr  0.5000  0.5000  0.5000
P  0.0000  0.0000  0.0000
Au  0.0000  0.5000  0.0000

=====

Entry 2:
Entry from Alexandria via LeMat-Bulk: crystalline TbCe2Pt9 at its relaxed geometry (PBE-GGA).

Energy above the lowest structure with this stoichiometry = 105.2 meV/atom
Space group = R-3m
N(E_F) = 14.56 states/eV/cell
Formation enthalpy at 0 K = -906 meV/atom

a = 5.4172 Å, b = 5.4172 Å, c = 9.5011 Å
α = 73.44°, β = 73.44°, γ = 60.00°
Fractional positions:
Ce  0.1388  0.1388  0.5835
Ce  0.8612  0.8612  0.4165
Pt  0.4137  0.9186  0.2541
Pt  0.3328  0.3328  0.0015
Pt  0.9186  0.4137  0.2541
Pt  0.0814  0.5863  0.7459
Pt  0.5863  0.0814  0.7459
Pt  0.5863  0.5863  0.7459
Pt  0.6672  0.6672  0.9985
Pt  0.4137  0.4137  0.2541
Pt  0.5000  0.5000  0.5000
Tb  0.0000  0.0000  0.0000